PBE TlRe2RuS, optimized geometry; Fermi-level density of states = 1.0506 states/eV/atom; energy relative to the elements, uncorrected = 0.92 eV per atom
1.0
-3.8181 -0.1640 -2.2372
1.5776 -3.2803 -2.4519
-1.5806 -2.9373 2.9127
Re Ru S Tl
2 1 1 1
Direct
0.0000 0.0000 0.5000
0.5000 0.0000 0.0000
0.0000 0.5000 0.0000
0.0000 0.0000 0.0000
0.5000 0.5000 0.5000

PBE HoScAl6, optimized geometry; Fermi-level density of states = 0.2853 states/eV/atom; relative energy among the computed polymorphs = 0 meV/atom
1.0
4.7345 0.0000 0.0000
0.0000 5.2810 -2.8239
0.0000 -0.1940 5.9854
Al Ho Sc
6 1 1
Direct
0.0000 0.5977 0.9455
0.5000 0.9070 0.5642
0.0000 0.0545 0.4023
0.0000 0.5977 0.4023
0.5000 0.4358 0.0930
0.5000 0.9071 0.0929
0.5000 0.4166 0.5834
0.0000 0.0833 0.9167

PBE CdSb2ICl, optimized geometry; Fermi-level density of states = 0.9445 states/eV/atom; energy relative to the elements, uncorrected = 0.58 eV per atom; relative energy among the computed polymorphs = 98 meV/atom
1.0
-0.6557 0.2067 -5.1428
5.1249 -0.4537 -0.6716
-0.6410 -6.9491 -0.1976
Cd Sb I Cl
1 2 1 1
Direct
0.5000 0.5000 0.5000
0.5000 0.0000 0.0000
0.0000 0.5000 0.0000
0.0000 0.0000 0.5000
0.0000 0.0000 0.0000

PBE YHgPd, optimized geometry; Fermi-level density of states = 0.3984 states/eV/atom; total DFT energy (no corrections) = -4.671 eV per atom
1.0
-1.2604 -3.0766 -1.6894
0.9798 -2.0321 2.9696
-4.0511 3.2505 1.2192
Hg Pd Y
1 1 1
Direct
0.2805 0.2805 0.5610
0.6130 0.6130 0.2260
0.9565 0.9565 0.9130

PBE BPtRh2, optimized geometry; Fermi-level density of states = 1.5132 states/eV/atom; total DFT energy (no corrections) = -6.884 eV per atom
1.0
6.5959 0.0000 0.0000
0.0000 6.5959 0.0000
3.2980 3.2980 2.4486
Pt Rh B
2 4 2
Direct
0.7500 0.2500 0.5000
0.0000 0.0000 0.0000
0.3750 0.4588 0.7500
0.5412 0.1250 0.2500
0.8750 0.7912 0.7500
0.2088 0.6250 0.2500
0.5000 0.5000 0.0000
0.2500 0.7500 0.5000

PBE Ce4Ga12Ge, optimized geometry; Fermi-level density of states = 1.3847 states/eV/atom; total DFT energy (no corrections) = -4.279 eV per atom
1.0
7.6667 0.0000 0.0000
-2.5556 7.2282 0.0000
-2.5556 -3.6141 6.2598
Ce Ga Ge
4 12 1
Direct
0.0000 0.5000 0.0000
0.0000 0.0000 0.5000
0.5000 0.0000 0.0000
0.5000 0.5000 0.5000
0.7500 0.2500 0.5000
0.6901 0.0000 0.6901
0.3099 0.3099 0.0000
0.0000 0.6901 0.6901
0.2500 0.5000 0.7500
0.5000 0.2500 0.7500
0.5000 0.7500 0.2500
0.3099 0.0000 0.3099
0.0000 0.3099 0.3099
0.7500 0.5000 0.2500
0.6901 0.6901 0.0000
0.2500 0.7500 0.5000
0.0000 0.0000 0.0000

PBE Dy2ZrScP4, optimized geometry; Fermi-level density of states = 0.1852 states/eV/atom; total DFT energy (no corrections) = -7.244 eV per atom
1.0
3.8678 0.0000 0.0000
0.0000 6.6922 0.1198
0.0000 -2.3359 6.2935
P Sc Dy Zr
4 1 2 1
Direct
0.5000 0.7547 0.7649
0.0000 0.2549 0.7655
0.0000 0.7451 0.2345
0.5000 0.2453 0.2351
0.5000 0.5000 0.0000
0.5000 0.0000 0.5000
0.0000 0.5000 0.5000
0.0000 0.0000 0.0000

PBE HfSc2Pd3, optimized geometry; Fermi-level density of states = 0.7802 states/eV/atom; total DFT energy (no corrections) = -7.171 eV per atom
1.0
-1.8472 -1.3721 2.2332
-0.5801 -3.7929 -2.8103
11.6388 -6.1249 5.8639
Sc Pd Hf
4 6 2
Direct
0.9988 0.0000 0.3307
0.0012 0.5000 0.1693
0.0012 0.5000 0.8307
0.9988 0.0000 0.6693
0.5013 0.0000 0.1594
0.4987 0.5000 0.6594
0.4987 0.0000 0.5000
0.5013 0.0000 0.8406
0.4987 0.5000 0.3406
0.5013 0.5000 0.0000
0.9985 0.5000 0.5000
0.0015 0.0000 0.0000

Copy entry 5 word for word.
PBE BPtRh2, optimized geometry; Fermi-level density of states = 1.5132 states/eV/atom; total DFT energy (no corrections) = -6.884 eV per atom
1.0
6.5959 0.0000 0.0000
0.0000 6.5959 0.0000
3.2980 3.2980 2.4486
Pt Rh B
2 4 2
Direct
0.7500 0.2500 0.5000
0.0000 0.0000 0.0000
0.3750 0.4588 0.7500
0.5412 0.1250 0.2500
0.8750 0.7912 0.7500
0.2088 0.6250 0.2500
0.5000 0.5000 0.0000
0.2500 0.7500 0.5000

> What is the Fermi-level density of states in the second record?

0.2853 states/eV/atom

> Among the records above, which one has the lowest Fermi-level density of states?

Dy2ZrScP4